Entry 1:
This record from Alexandria via LeMat-Bulk describes a relaxed RbCu2PbCl6 crystal. The functional is PBE.

a b c (Å): 8.885 8.885 9.235
angles (deg): 99.76 99.76 110.76
Sites, in units of the cell vectors:
Rb 0.106 0.894 0.750
Rb 0.894 0.106 0.250
Cu 0.101 0.408 0.741
Cu 0.408 0.101 0.241
Cu 0.592 0.899 0.759
Cu 0.899 0.592 0.259
Pb 0.450 0.550 0.250
Pb 0.550 0.450 0.750
Cl 0.093 0.500 0.257
Cl 0.173 0.228 0.606
Cl 0.228 0.173 0.106
Cl 0.337 0.562 0.924
Cl 0.438 0.663 0.576
Cl 0.500 0.093 0.757
Cl 0.500 0.907 0.243
Cl 0.562 0.337 0.424
Cl 0.663 0.438 0.076
Cl 0.772 0.827 0.894
Cl 0.827 0.772 0.394
Cl 0.907 0.500 0.743

Uncorrected formation energy ... -0.96 eV per atom
Symmetry ... C2/c

=====

Entry 2:
This record from Alexandria via LeMat-Bulk describes a relaxed Rb2CuPbCl6 crystal. The functional is PBE.

a b c (Å): 7.437 7.434 7.398
angles (deg): 60.19 60.14 59.67
Sites, in units of the cell vectors:
Rb 0.250 0.250 0.250
Rb 0.750 0.750 0.750
Cu 0.000 0.000 0.000
Pb 0.500 0.500 0.500
Cl 0.234 0.766 0.234
Cl 0.234 0.766 0.766
Cl 0.237 0.237 0.763
Cl 0.763 0.763 0.237
Cl 0.766 0.234 0.234
Cl 0.766 0.234 0.766

Uncorrected formation energy ... -1.28 eV per atom
Symmetry ... Fmmm